Ta2CuAg after structural relaxation, computed with PBE.

Geometry as extended XYZ:
```
4
Lattice="-2.120 -1.036 -4.041 1.954 -1.843 -0.553 -1.909 -4.498 2.154" Properties=species:S:1:pos:R:3 pbc="T T T"
Ag -1.049 -2.103 -1.620
Ta 0.054 -3.270 0.810
Ta 0.014 -6.242 1.593
Cu -1.026 -5.274 -0.819
```

## Properties
The total magnetization comes out at 0.00 μB per formula unit. Its energy of formation from the pure elements is 0.315 eV per atom. The calculation puts the density at 13.3 g/cm³. As for the crystal system: monoclinic. As for the space group: No. 10. The calculation puts the density of states at the Fermi level at 0.63 states/eV/atom. The energy above the most stable polymorph in this dataset comes out at 0.195 eV/atom. Its raw total energy is -7.35 eV per atom.



Ru2BrCl after structural relaxation, computed with PBE.

Geometry as extended XYZ:
```
4
Lattice="5.219 0.004 -0.001 1.477 5.006 0.001 -2.303 -3.902 2.591" Properties=species:S:1:pos:R:3 pbc="T T T"
Br 3.132 -0.696 1.295
Ru 0.038 0.029 0.000
Ru 3.310 2.476 0.000
Cl 1.261 1.805 1.296
```

## Properties
The total magnetization comes out at 0.67 μB per formula unit. The calculation puts the density at 7.8 g/cm³. As for the crystal system: orthorhombic. As for the space group: No. 71. The calculation puts the density of states at the Fermi level at 1.58 states/eV/atom. The energy above the most stable polymorph in this dataset comes out at 0.699 eV/atom. Its raw total energy is -4.63 eV per atom.



Ho5Ti3Al12 after structural relaxation, computed with PBE.

Geometry as extended XYZ:
```
80
Lattice="14.183 0.000 0.000 -4.728 13.372 0.000 -4.728 -6.686 11.580" Properties=species:S:1:pos:R:3 pbc="T T T"
Al -0.584 7.380 4.980
Al 4.468 1.645 6.626
Al 9.196 1.573 1.052
Al 8.871 -4.660 9.692
Al -1.582 -0.834 4.738
Al 1.780 0.695 6.600
Al 2.623 -1.645 6.626
Al 0.259 5.041 4.954
Al 9.517 6.701 1.646
Al 5.312 -0.695 6.600
Al -1.780 -3.966 8.489
Al 0.782 7.863 7.436
Al 6.507 10.652 3.092
Al -2.302 0.015 9.934
Al 8.673 0.834 4.738
Al -5.312 3.966 8.489
Al -0.062 5.268 0.836
Al 6.507 2.026 1.889
Al 9.715 -3.468 7.679
Al -2.623 3.468 7.679
Al 1.582 5.508 7.436
Al -4.468 5.113 10.528
Al -3.146 7.029 8.882
Al 4.789 -1.433 10.770
Al 7.030 6.670 1.646
Al -0.062 8.119 0.810
Al 2.104 8.331 4.954
Al 7.351 11.798 1.052
Al -4.789 -0.015 9.934
Al -3.946 5.851 6.842
Al 2.425 5.252 0.810
Al -1.780 4.660 9.692
Al 2.948 5.991 4.980
Al 2.302 1.433 10.770
Al -4.144 11.346 1.889
Al 6.310 7.520 6.842
Al 3.146 1.177 4.144
Al 3.946 -1.177 4.144
Al 7.873 -0.343 2.698
Al 5.509 6.343 8.882
Al -0.782 0.343 2.698
Al 7.351 3.218 3.901
Al -4.987 10.153 3.901
Al 10.039 2.720 3.092
Al 2.425 8.104 0.836
Al 2.302 -1.418 10.744
Al 4.789 1.418 10.744
Al -2.623 -5.113 10.528
Ho 4.728 -3.343 5.790
Ho 8.273 -0.836 7.238
Ho 4.728 6.686 0.000
Ho 1.182 4.179 10.133
Ho -1.182 10.864 1.448
Ho -1.182 0.836 7.238
Ho -1.182 3.343 2.895
Ho 5.909 5.850 4.343
Ho 2.364 3.343 5.790
Ho 5.909 -4.179 10.133
Ho -3.546 7.522 4.343
Ho -2.364 -3.343 5.790
Ho 7.091 0.000 0.000
Ho 0.000 0.000 0.000
Ho -2.364 6.686 0.000
Ho 3.546 2.507 1.448
Ho -4.728 3.343 5.790
Ho 5.909 3.343 8.685
Ho 3.546 10.029 2.895
Ho 1.182 -3.343 8.685
Ti 1.182 6.686 2.895
Ti -1.182 5.850 7.238
Ti -3.546 2.507 10.133
Ti 8.273 9.193 1.448
Ti -5.909 6.686 8.685
Ti 3.546 0.000 8.685
Ti 10.637 0.000 2.895
Ti 1.182 -0.836 4.343
Ti 3.546 7.522 7.238
Ti 8.273 4.179 1.448
Ti 5.909 0.836 4.343
Ti -3.546 -2.507 10.133
```

## Properties
The total magnetization comes out at 1.07 μB per formula unit. Its energy of formation from the pure elements is 0.397 eV per atom. The calculation puts the density at 3.9 g/cm³. As for the crystal system: cubic. As for the space group: No. 230. The calculation puts the density of states at the Fermi level at 1.02 states/eV/atom. Its raw total energy is -4.18 eV per atom.



CaCdMo2 after structural relaxation, computed with PBE.

Geometry as extended XYZ:
```
4
Lattice="-2.104 2.050 -2.271 -0.894 -3.048 -1.923 -5.168 -0.959 3.924" Properties=species:S:1:pos:R:3 pbc="T T T"
Cd -5.375 -1.218 0.846
Mo -4.750 -0.882 3.607
Mo -3.001 -0.557 2.279
Ca -2.791 -0.739 -1.116
```

## Properties
The total magnetization comes out at 0.00 μB per formula unit. Its energy of formation from the pure elements is 0.702 eV per atom. The calculation puts the density at 6.3 g/cm³. As for the crystal system: tetragonal. As for the space group: No. 123. The calculation puts the density of states at the Fermi level at 0.94 states/eV/atom. Its raw total energy is -5.44 eV per atom.



CuTcSb2 after structural relaxation, computed with PBE.

Geometry as extended XYZ:
```
4
Lattice="8.144 -0.006 -0.003 7.461 3.265 -0.003 7.461 1.558 2.869" Properties=species:S:1:pos:R:3 pbc="T T T"
Sb 23.024 4.809 2.857
Sb 11.577 2.418 1.437
Cu 17.300 3.613 2.147
Tc 5.767 1.204 0.716
```

## Properties
The total magnetization comes out at 0.00 μB per formula unit. The calculation puts the density at 8.8 g/cm³. As for the crystal system: trigonal. As for the space group: No. 166. The calculation puts the density of states at the Fermi level at 0.47 states/eV/atom. The energy above the most stable polymorph in this dataset comes out at 0.057 eV/atom. Its raw total energy is -5.51 eV per atom.



Tl2SbPb after structural relaxation, computed with PBE.

Geometry as extended XYZ:
```
4
Lattice="4.771 0.000 0.000 0.000 4.765 0.000 0.000 0.000 5.438" Properties=species:S:1:pos:R:3 pbc="T T T"
Tl 2.386 2.383 0.000
Tl 0.000 0.000 0.000
Pb 2.386 0.000 2.719
Sb 0.000 2.383 2.719
```

## Properties
The total magnetization comes out at 0.00 μB per formula unit. The calculation puts the density at 9.9 g/cm³. As for the crystal system: tetragonal. As for the space group: No. 123. The calculation puts the density of states at the Fermi level at 0.41 states/eV/atom. The energy above the most stable polymorph in this dataset comes out at 0.012 eV/atom. Its raw total energy is -3.13 eV per atom.



Ce2P2Pd after structural relaxation, computed with PBE.

Geometry as extended XYZ:
```
10
Lattice="4.120 0.000 0.000 0.000 5.782 0.428 0.000 -1.455 9.612" Properties=species:S:1:pos:R:3 pbc="T T T"
Ce 3.090 3.531 6.111
Ce 1.030 0.795 3.929
Ce 1.030 0.492 7.916
Ce 3.090 3.835 2.124
P 1.030 3.683 4.083
P 3.090 0.644 5.957
P 1.030 3.337 8.224
P 3.090 0.990 1.816
Pd 1.030 0.483 0.797
Pd 3.090 3.844 9.243
```

## Properties
The total magnetization comes out at 1.46 μB per formula unit. Its energy of formation from the pure elements is -1.170 eV per atom. The calculation puts the density at 6.4 g/cm³. As for the crystal system: monoclinic. As for the space group: No. 11. The calculation puts the density of states at the Fermi level at 2.20 states/eV/atom. Its raw total energy is -6.75 eV per atom.



CdTc2Mo after structural relaxation, computed with PBE.

Geometry as extended XYZ:
```
4
Lattice="-4.334 2.070 0.687 -0.644 -4.796 -0.350 0.329 -0.251 2.831" Properties=species:S:1:pos:R:3 pbc="T T T"
Tc -2.489 -1.363 0.169
Tc 0.000 0.000 0.000
Cd -2.002 0.910 1.759
Mo -0.157 -2.524 1.241
```

## Properties
The total magnetization comes out at 0.00 μB per formula unit. Its energy of formation from the pure elements is 0.491 eV per atom. The calculation puts the density at 10.5 g/cm³. As for the crystal system: orthorhombic. As for the space group: No. 65. The calculation puts the density of states at the Fermi level at 1.18 states/eV/atom. Its raw total energy is -7.63 eV per atom.



LaBe2As after structural relaxation, computed with PBE.

Geometry as extended XYZ:
```
4
Lattice="4.168 0.008 -0.005 2.492 3.341 -0.005 1.704 0.857 5.102" Properties=species:S:1:pos:R:3 pbc="T T T"
La 6.273 3.155 3.819
As 2.091 1.052 1.273
Be 6.710 3.374 0.702
Be 4.133 2.078 1.833
```

## Properties
The total magnetization comes out at 0.00 μB per formula unit. Its energy of formation from the pure elements is -0.141 eV per atom. The calculation puts the density at 5.4 g/cm³. As for the crystal system: monoclinic. As for the space group: No. 12. The calculation puts the density of states at the Fermi level at 0.51 states/eV/atom. Its raw total energy is -4.40 eV per atom.



KSe2F after structural relaxation, computed with PBE.

Geometry as extended XYZ:
```
8
Lattice="3.715 0.000 0.000 0.000 3.715 0.000 1.857 1.857 15.490" Properties=species:S:1:pos:R:3 pbc="T T T"
K 0.000 0.000 0.000
K 3.715 1.857 7.745
Se 4.643 4.641 11.617
Se 2.783 0.929 3.872
Se 0.931 2.786 3.872
Se 2.786 2.789 11.617
F 1.857 3.715 7.745
F 1.857 1.857 0.000
```

## Properties
The total magnetization comes out at 0.00 μB per formula unit. The calculation puts the density at 3.4 g/cm³. As for the crystal system: tetragonal. As for the space group: No. 122. The calculation puts the density of states at the Fermi level at 0.28 states/eV/atom. The energy above the most stable polymorph in this dataset comes out at 0.000 eV/atom. Its raw total energy is -3.67 eV per atom.



DyLu2Ga after structural relaxation, computed with PBE.

Geometry as extended XYZ:
```
4
Lattice="-1.537 -2.749 -1.343 -0.282 -2.874 1.840 -10.376 1.638 4.155" Properties=species:S:1:pos:R:3 pbc="T T T"
Lu -7.391 0.565 2.936
Lu -4.804 -4.549 1.716
Ga -6.097 -1.992 2.326
Dy 0.000 0.000 0.000
```

## Properties
The total magnetization comes out at 0.54 μB per formula unit. Its energy of formation from the pure elements is 0.012 eV per atom. The calculation puts the density at 8.6 g/cm³. As for the crystal system: trigonal. As for the space group: No. 166. The calculation puts the density of states at the Fermi level at 1.48 states/eV/atom. The energy above the most stable polymorph in this dataset comes out at 0.303 eV/atom. Its raw total energy is -4.16 eV per atom.



RbAgO2 after structural relaxation, computed with PBE.

Geometry as extended XYZ:
```
4
Lattice="0.000 3.203 3.203 3.203 0.000 3.203 3.203 3.203 0.000" Properties=species:S:1:pos:R:3 pbc="T T T"
O 4.804 4.804 4.804
O 1.601 1.601 1.601
Rb 0.000 0.000 0.000
Ag 3.203 3.203 3.203
```

## Properties
The total magnetization comes out at 2.00 μB per formula unit. The calculation puts the density at 5.7 g/cm³. As for the crystal system: cubic. As for the space group: No. 225. The calculation puts the density of states at the Fermi level at 1.28 states/eV/atom. Its raw total energy is -3.32 eV per atom.



Sm2CuS3 after structural relaxation, computed with PBE.

Geometry as extended XYZ:
```
6
Lattice="3.764 0.000 0.000 0.000 4.282 0.000 -1.882 -2.141 7.819" Properties=species:S:1:pos:R:3 pbc="T T T"
S 0.000 2.141 0.000
S 0.000 0.000 2.764
S 1.882 2.141 5.055
Sm 0.000 0.000 5.632
Sm 1.882 2.141 2.187
Cu 0.000 0.000 0.000
```

## Properties
The total magnetization comes out at 0.00 μB per formula unit. The calculation puts the density at 6.1 g/cm³. As for the crystal system: orthorhombic. As for the space group: No. 71. The calculation puts the density of states at the Fermi level at 0.21 states/eV/atom. Its raw total energy is -5.88 eV per atom.



SrLu2Cu after structural relaxation, computed with PBE.

Geometry as extended XYZ:
```
4
Lattice="3.503 0.000 0.000 0.000 3.503 0.000 0.000 0.000 9.389" Properties=species:S:1:pos:R:3 pbc="T T T"
Lu 0.000 0.000 7.779
Lu 0.000 0.000 1.611
Sr 1.752 1.752 4.695
Cu 1.752 1.752 0.000
```

## Properties
The total magnetization comes out at 0.00 μB per formula unit. Its energy of formation from the pure elements is -0.005 eV per atom. The calculation puts the density at 7.2 g/cm³. As for the crystal system: tetragonal. As for the space group: No. 123. The calculation puts the density of states at the Fermi level at 0.79 states/eV/atom. Its raw total energy is -3.71 eV per atom.